No. 1
Below is crystalline La2TbPmSm at its relaxed geometry, with properties calculated at the PBE level.

Computed properties:
N(E_F) ... 14.2 states/eV/cell
Symmetry ... No. 51
E ... -4.556 eV/atom
Calculated formation energy ... 0.24 eV per atom

a b c (Å): 6.3934 7.9840 6.9520
angles (deg): 90.00 90.00 90.00
Fractional positions:
La1 0.2500 0.1991 0.1943
La2 0.2500 0.8009 0.1943
La3 0.7500 0.1991 0.8057
La4 0.7500 0.8009 0.8057
Tb1 0.2500 0.0000 0.6567
Tb2 0.7500 0.0000 0.3433
Pm1 0.2500 0.5000 0.9096
Pm2 0.7500 0.5000 0.0904
Sm1 0.0000 0.5000 0.5000
Sm2 0.5000 0.5000 0.5000

***

No. 2
Below is crystalline OsCBr3 at its relaxed geometry, with properties calculated at the PBE level.

Computed properties:
N(E_F) ... 5.5 states/eV/cell
Symmetry ... No. 221
E ... -3.292 eV/atom
Formation energy (no corrections) ... 9.01 eV/f.u.

a b c (Å): 5.0550 5.0550 5.0550
angles (deg): 90.00 90.00 90.00
Fractional positions:
Os1 0.0000 0.0000 0.0000
C1 0.5000 0.5000 0.5000
Br1 0.0000 0.0000 0.5000
Br2 0.0000 0.5000 0.0000
Br3 0.5000 0.0000 0.0000

***

No. 3
Below is crystalline CdRh2Pb at its relaxed geometry, with properties calculated at the PBE level.

Computed properties:
N(E_F) ... 4.8 states/eV/cell
Symmetry ... No. 166
E ... -4.712 eV/atom
Calculated formation energy ... 0.12 eV per atom

a b c (Å): 8.4761 8.4761 8.4761
angles (deg): 22.09 22.09 22.09
Fractional positions:
Cd1 0.0000 0.0000 0.0000
Rh1 0.2489 0.2489 0.2489
Rh2 0.7511 0.7511 0.7511
Pb1 0.5000 0.5000 0.5000

***

No. 4
Below is crystalline Cd2TcW at its relaxed geometry, with properties calculated at the PBE level.

Computed properties:
N(E_F) ... 2.5 states/eV/cell
Offset from the most stable computed form ... 631.9 meV per atom
Symmetry ... No. 123
E ... -5.397 eV/atom
Calculated formation energy ... 0.89 eV per atom

a b c (Å): 5.0543 5.0543 2.7737
angles (deg): 90.00 90.00 90.00
Fractional positions:
Cd1 0.0000 0.5000 0.0000
Cd2 0.5000 0.0000 0.0000
Tc1 0.0000 0.0000 0.5000
W1 0.5000 0.5000 0.5000

***

No. 5
Below is crystalline InReSi2 at its relaxed geometry, with properties calculated at the PBE level.

Computed properties:
N(E_F) ... 2.2 states/eV/cell
Symmetry ... No. 10
E ... -6.418 eV/atom
Formation energy (no corrections) ... 0.36 eV/f.u.

a b c (Å): 2.9961 3.0501 7.8147
angles (deg): 90.00 90.07 90.00
Fractional positions:
In1 0.0000 0.0000 0.0000
Re1 0.5000 0.0000 0.5000
Si1 0.0006 0.5000 0.6792
Si2 0.9994 0.5000 0.3208

***

No. 6
Below is crystalline Re2MoHOs at its relaxed geometry, with properties calculated at the PBE level.

Computed properties:
N(E_F) ... 3.9 states/eV/cell
Offset from the most stable computed form ... 0.0 meV per atom
Symmetry ... No. 123
E ... -9.940 eV/atom

a b c (Å): 3.9514 3.9514 3.9780
angles (deg): 90.00 90.00 90.00
Fractional positions:
Re1 0.0000 0.5000 0.0000
Re2 0.5000 0.0000 0.0000
Mo1 0.0000 0.0000 0.5000
H1 0.0000 0.0000 0.0000
Os1 0.5000 0.5000 0.5000